# ZnCd3Hg2

An optimized crystal structure of ZnCd3Hg2 (GGA-PBE, the Alexandria database).

abc: 8.420 8.420 8.420
angles: 136.57 62.70 137.09
Fractional coordinates of all 12 atoms:
1 Zn 0.250 0.250 0.000
2 Zn 0.750 0.750 0.000
3 Cd 0.159 0.732 0.891
4 Cd 0.250 0.750 0.500
5 Cd 0.341 0.232 0.573
6 Cd 0.659 0.768 0.427
7 Cd 0.750 0.250 0.500
8 Cd 0.841 0.268 0.109
9 Hg 0.143 0.217 0.360
10 Hg 0.357 0.717 0.074
11 Hg 0.643 0.283 0.926
12 Hg 0.857 0.783 0.640

Summary:
- Fermi-level density of states: 4.08 states/eV/cell
- Crystal system: orthorhombic
- Energy relative to the elements: 31 kJ/mol of formula units



# Ba6Ir2I3Cl

An optimized crystal structure of Ba6Ir2I3Cl (GGA-PBE, the Alexandria database).

abc: 11.042 11.042 10.222
angles: 107.82 107.82 24.19
Fractional coordinates of all 12 atoms:
1 Ba 0.024 0.024 0.249
2 Ba 0.320 0.320 0.446
3 Ba 0.331 0.331 0.869
4 Ba 0.669 0.669 0.131
5 Ba 0.680 0.680 0.554
6 Ba 0.976 0.976 0.751
7 Ir 0.163 0.163 0.330
8 Ir 0.837 0.837 0.670
9 I 0.158 0.158 0.836
10 I 0.500 0.500 0.500
11 I 0.842 0.842 0.164
12 Cl 0.500 0.500 0.000

Summary:
- Fermi-level density of states: 6.87 states/eV/cell
- Crystal system: monoclinic
- Uncorrected formation energy: -1.080 eV/atom



# YIrSe

An optimized crystal structure of YIrSe (GGA-PBE, the Alexandria database).

abc: 4.319 4.319 3.704
angles: 90.00 90.00 120.00
Fractional coordinates of all 3 atoms:
1 Y 0.000 0.000 0.000
2 Ir 0.333 0.667 0.471
3 Se 0.667 0.333 0.520

Summary:
- Fermi-level density of states: 0.87 states/eV/cell
- Crystal system: trigonal
- Uncorrected formation energy: -0.939 eV/atom



# Tl3Fe

An optimized crystal structure of Tl3Fe (GGA-PBE, the Alexandria database).

abc: 7.572 7.572 7.572
angles: 156.13 144.12 43.56
Fractional coordinates of all 4 atoms:
1 Tl 0.000 0.000 0.000
2 Tl 0.320 0.820 0.500
3 Tl 0.680 0.180 0.500
4 Fe 0.500 0.500 0.000

Summary:
- Fermi-level density of states: 3.06 states/eV/cell
- Crystal system: orthorhombic
- Energy relative to the elements: 153 kJ/mol of formula units



# YPtSeN2

An optimized crystal structure of YPtSeN2 (GGA-PBE, the Alexandria database).

abc: 4.040 4.040 5.070
angles: 90.00 90.00 90.00
Fractional coordinates of all 5 atoms:
1 Y 0.000 0.000 0.000
2 Pt 0.500 0.500 0.500
3 Se 0.500 0.500 0.000
4 N 0.000 0.500 0.500
5 N 0.500 0.000 0.500

Summary:
- Fermi-level density of states: 4.69 states/eV/cell
- Crystal system: tetragonal
- Uncorrected formation energy: 0.397 eV/atom
- Energy above the lowest structure with this stoichiometry: 0 meV/atom



# Sm3Ga2Ru

An optimized crystal structure of Sm3Ga2Ru (GGA-PBE, the Alexandria database).

abc: 12.165 4.415 11.044
angles: 90.00 90.00 90.00
Fractional coordinates of all 24 atoms:
1 Sm 0.053 0.250 0.114
2 Sm 0.116 0.750 0.554
3 Sm 0.233 0.250 0.790
4 Sm 0.267 0.750 0.290
5 Sm 0.384 0.250 0.054
6 Sm 0.447 0.750 0.614
7 Sm 0.553 0.250 0.386
8 Sm 0.616 0.750 0.946
9 Sm 0.733 0.250 0.710
10 Sm 0.767 0.750 0.210
11 Sm 0.884 0.250 0.446
12 Sm 0.947 0.750 0.886
13 Ga 0.011 0.750 0.298
14 Ga 0.202 0.750 0.992
15 Ga 0.298 0.250 0.492
16 Ga 0.489 0.250 0.798
17 Ga 0.511 0.750 0.202
18 Ga 0.702 0.750 0.508
19 Ga 0.798 0.250 0.008
20 Ga 0.989 0.250 0.702
21 Ru 0.115 0.250 0.364
22 Ru 0.385 0.750 0.864
23 Ru 0.615 0.250 0.136
24 Ru 0.885 0.750 0.636

Summary:
- Fermi-level density of states: 22.03 states/eV/cell
- Crystal system: orthorhombic
- Energy relative to the elements: -287 kJ/mol of formula units



# LaTbPm2

An optimized crystal structure of LaTbPm2 (GGA-PBE, the Alexandria database).

abc: 5.149 5.149 5.195
angles: 90.00 90.00 90.00
Fractional coordinates of all 4 atoms:
1 La 0.000 0.000 0.000
2 Tb 0.500 0.500 0.000
3 Pm 0.000 0.500 0.500
4 Pm 0.500 0.000 0.500

Summary:
- Fermi-level density of states: 6.94 states/eV/cell
- Crystal system: tetragonal
- Energy relative to the elements: 7 kJ/mol of formula units
- Energy above the lowest structure with this stoichiometry: 1 meV/atom



# Cr2CoSi

An optimized crystal structure of Cr2CoSi (GGA-PBE, the Alexandria database).

abc: 5.136 5.136 5.136
angles: 102.42 102.42 124.74
Fractional coordinates of all 8 atoms:
1 Cr 0.109 0.625 0.984
2 Cr 0.375 0.359 0.484
3 Cr 0.641 0.125 0.016
4 Cr 0.875 0.891 0.516
5 Co 0.000 0.000 0.000
6 Co 0.750 0.250 0.500
7 Si 0.250 0.750 0.500
8 Si 0.500 0.500 0.000

Summary:
- Fermi-level density of states: 12.56 states/eV/cell
- Crystal system: tetragonal
- Uncorrected formation energy: 0.383 eV/atom



# Ga2SeS

An optimized crystal structure of Ga2SeS (GGA-PBE, the Alexandria database).

abc: 3.721 3.721 17.218
angles: 90.00 90.00 120.00
Fractional coordinates of all 8 atoms:
1 Ga 0.333 0.667 0.172
2 Ga 0.333 0.667 0.316
3 Ga 0.667 0.333 0.684
4 Ga 0.667 0.333 0.828
5 Se 0.333 0.667 0.614
6 Se 0.667 0.333 0.386
7 S 0.333 0.667 0.888
8 S 0.667 0.333 0.112

Summary:
- Fermi-level density of states: 0.00 states/eV/cell
- Crystal system: trigonal
- Uncorrected formation energy: -0.614 eV/atom
- Energy above the lowest structure with this stoichiometry: 0 meV/atom



# CsNiSn2

An optimized crystal structure of CsNiSn2 (GGA-PBE, the Alexandria database).

abc: 5.370 5.370 5.370
angles: 60.00 60.00 60.00
Fractional coordinates of all 4 atoms:
1 Cs 0.000 0.000 0.000
2 Ni 0.500 0.500 0.500
3 Sn 0.250 0.250 0.250
4 Sn 0.750 0.750 0.750

Summary:
- Fermi-level density of states: 3.66 states/eV/cell
- Crystal system: cubic
- Energy relative to the elements: 249 kJ/mol of formula units



# LaPr2Dy2

An optimized crystal structure of LaPr2Dy2 (GGA-PBE, the Alexandria database).

abc: 9.980 9.980 9.980
angles: 155.33 155.33 35.17
Fractional coordinates of all 5 atoms:
1 La 0.000 0.000 0.000
2 Pr 0.196 0.196 0.000
3 Pr 0.804 0.804 0.000
4 Dy 0.398 0.398 0.000
5 Dy 0.602 0.602 0.000

Summary:
- Fermi-level density of states: 10.55 states/eV/cell
- Crystal system: tetragonal
- Energy relative to the elements: 48 kJ/mol of formula units
- Energy above the lowest structure with this stoichiometry: 0 meV/atom



# Ti2CrCu

An optimized crystal structure of Ti2CrCu (GGA-PBE, the Alexandria database).

abc: 9.199 9.199 9.199
angles: 156.71 156.71 33.17
Fractional coordinates of all 8 atoms:
1 Ti 0.117 0.625 0.992
2 Ti 0.375 0.367 0.492
3 Ti 0.633 0.125 0.008
4 Ti 0.875 0.883 0.508
5 Cr 0.000 0.000 0.000
6 Cr 0.750 0.250 0.500
7 Cu 0.250 0.750 0.500
8 Cu 0.500 0.500 0.000

Summary:
- Fermi-level density of states: 14.28 states/eV/cell
- Crystal system: tetragonal
- Energy relative to the elements: 236 kJ/mol of formula units



# LiZn3Br

An optimized crystal structure of LiZn3Br (GGA-PBE, the Alexandria database).

abc: 5.691 5.691 5.691
angles: 90.00 90.00 90.00
Fractional coordinates of all 5 atoms:
1 Li 0.000 0.000 0.000
2 Zn 0.000 0.500 0.500
3 Zn 0.500 0.000 0.500
4 Zn 0.500 0.500 0.000
5 Br 0.500 0.500 0.500

Summary:
- Fermi-level density of states: 0.63 states/eV/cell
- Crystal system: cubic
- Uncorrected formation energy: 0.568 eV/atom
- Energy above the lowest structure with this stoichiometry: 374 meV/atom



# BaNi3C

An optimized crystal structure of BaNi3C (GGA-PBE, the Alexandria database).

abc: 8.204 8.204 5.414
angles: 99.02 99.02 57.69
Fractional coordinates of all 20 atoms:
1 Ba 0.107 0.893 0.750
2 Ba 0.378 0.622 0.250
3 Ba 0.622 0.378 0.750
4 Ba 0.893 0.107 0.250
5 Ni 0.012 0.359 0.092
6 Ni 0.014 0.365 0.597
7 Ni 0.299 0.307 0.906
8 Ni 0.307 0.299 0.406
9 Ni 0.359 0.012 0.592
10 Ni 0.365 0.014 0.097
11 Ni 0.635 0.986 0.903
12 Ni 0.641 0.988 0.408
13 Ni 0.693 0.701 0.594
14 Ni 0.701 0.693 0.094
15 Ni 0.986 0.635 0.403
16 Ni 0.988 0.641 0.908
17 C 0.175 0.499 0.668
18 C 0.499 0.175 0.168
19 C 0.501 0.825 0.832
20 C 0.825 0.501 0.332

Summary:
- Fermi-level density of states: 18.52 states/eV/cell
- Crystal system: monoclinic
- Energy relative to the elements: 111 kJ/mol of formula units
- Energy above the lowest structure with this stoichiometry: 0 meV/atom



# Np3Si5Se12

An optimized crystal structure of Np3Si5Se12 (GGA-PBE, the Alexandria database).

abc: 13.699 13.699 13.699
angles: 109.47 109.47 109.47
Fractional coordinates of all 80 atoms:
1 Np 0.125 0.250 0.375
2 Np 0.125 0.375 0.750
3 Np 0.250 0.375 0.125
4 Np 0.250 0.875 0.625
5 Np 0.375 0.125 0.250
6 Np 0.375 0.750 0.125
7 Np 0.625 0.250 0.875
8 Np 0.625 0.875 0.750
9 Np 0.750 0.125 0.375
10 Np 0.750 0.625 0.875
11 Np 0.875 0.625 0.250
12 Np 0.875 0.750 0.625
13 Si 0.000 0.000 0.000
14 Si 0.000 0.000 0.500
15 Si 0.000 0.500 0.000
16 Si 0.000 0.500 0.500
17 Si 0.125 0.750 0.875
18 Si 0.125 0.875 0.250
19 Si 0.250 0.125 0.875
20 Si 0.250 0.625 0.375
21 Si 0.375 0.250 0.625
22 Si 0.375 0.625 0.750
23 Si 0.500 0.000 0.000
24 Si 0.500 0.000 0.500
25 Si 0.500 0.500 0.000
26 Si 0.500 0.500 0.500
27 Si 0.625 0.375 0.250
28 Si 0.625 0.750 0.375
29 Si 0.750 0.375 0.625
30 Si 0.750 0.875 0.125
31 Si 0.875 0.125 0.750
32 Si 0.875 0.250 0.125
33 Se 0.031 0.213 0.125
34 Se 0.031 0.318 0.906
35 Se 0.087 0.713 0.682
36 Se 0.087 0.875 0.406
37 Se 0.094 0.625 0.413
38 Se 0.094 0.969 0.682
39 Se 0.125 0.031 0.213
40 Se 0.125 0.594 0.913
41 Se 0.182 0.213 0.587
42 Se 0.182 0.469 0.594
43 Se 0.213 0.125 0.031
44 Se 0.213 0.587 0.182
45 Se 0.287 0.318 0.913
46 Se 0.287 0.469 0.375
47 Se 0.318 0.906 0.031
48 Se 0.318 0.913 0.287
49 Se 0.375 0.287 0.469
50 Se 0.375 0.587 0.906
51 Se 0.406 0.087 0.875
52 Se 0.406 0.818 0.531
53 Se 0.413 0.094 0.625
54 Se 0.413 0.818 0.787
55 Se 0.469 0.375 0.287
56 Se 0.469 0.594 0.182
57 Se 0.531 0.406 0.818
58 Se 0.531 0.625 0.713
59 Se 0.587 0.182 0.213
60 Se 0.587 0.906 0.375
61 Se 0.594 0.182 0.469
62 Se 0.594 0.913 0.125
63 Se 0.625 0.413 0.094
64 Se 0.625 0.713 0.531
65 Se 0.682 0.087 0.713
66 Se 0.682 0.094 0.969
67 Se 0.713 0.531 0.625
68 Se 0.713 0.682 0.087
69 Se 0.787 0.413 0.818
70 Se 0.787 0.875 0.969
71 Se 0.818 0.531 0.406
72 Se 0.818 0.787 0.413
73 Se 0.875 0.406 0.087
74 Se 0.875 0.969 0.787
75 Se 0.906 0.031 0.318
76 Se 0.906 0.375 0.587
77 Se 0.913 0.125 0.594
78 Se 0.913 0.287 0.318
79 Se 0.969 0.682 0.094
80 Se 0.969 0.787 0.875

Summary:
- Fermi-level density of states: 121.58 states/eV/cell
- Crystal system: cubic
- Uncorrected formation energy: -0.515 eV/atom



# Cr2TcTe

An optimized crystal structure of Cr2TcTe (GGA-PBE, the Alexandria database).

abc: 4.783 4.783 4.783
angles: 131.04 131.04 71.75
Fractional coordinates of all 4 atoms:
1 Cr 0.250 0.750 0.500
2 Cr 0.750 0.250 0.500
3 Tc 0.000 0.000 0.000
4 Te 0.500 0.500 0.000

Summary:
- Fermi-level density of states: 3.81 states/eV/cell
- Crystal system: tetragonal
- Uncorrected formation energy: 0.435 eV/atom



# LiTcAs2

An optimized crystal structure of LiTcAs2 (GGA-PBE, the Alexandria database).

abc: 3.170 4.686 4.616
angles: 90.00 106.25 90.00
Fractional coordinates of all 4 atoms:
1 Li 0.000 0.000 0.000
2 Tc 0.452 0.500 0.748
3 As 0.325 0.000 0.549
4 As 0.763 0.500 0.296

Summary:
- Fermi-level density of states: 1.41 states/eV/cell
- Crystal system: monoclinic
- Energy relative to the elements: -38 kJ/mol of formula units
- Energy above the lowest structure with this stoichiometry: 246 meV/atom



# BaPd4O8

An optimized crystal structure of BaPd4O8 (GGA-PBE, the Alexandria database).

abc: 7.269 7.269 7.269
angles: 51.63 51.63 51.63
Fractional coordinates of all 13 atoms:
1 Ba 0.000 0.000 0.000
2 Pd 0.000 0.000 0.500
3 Pd 0.000 0.500 0.000
4 Pd 0.500 0.000 0.000
5 Pd 0.500 0.500 0.500
6 O 0.206 0.728 0.728
7 O 0.220 0.220 0.220
8 O 0.272 0.272 0.794
9 O 0.272 0.794 0.272
10 O 0.728 0.206 0.728
11 O 0.728 0.728 0.206
12 O 0.780 0.780 0.780
13 O 0.794 0.272 0.272

Summary:
- Fermi-level density of states: 8.20 states/eV/cell
- Crystal system: trigonal
- Uncorrected formation energy: -0.728 eV/atom



# Ba2OsPbO6

An optimized crystal structure of Ba2OsPbO6 (GGA-PBE, the Alexandria database).

abc: 6.065 6.084 6.215
angles: 60.89 61.28 60.15
Fractional coordinates of all 10 atoms:
1 Ba 0.245 0.247 0.263
2 Ba 0.755 0.753 0.737
3 Os 0.500 0.500 0.500
4 Pb 0.000 0.000 0.000
5 O 0.235 0.323 0.670
6 O 0.241 0.775 0.666
7 O 0.365 0.714 0.205
8 O 0.635 0.286 0.795
9 O 0.759 0.225 0.334
10 O 0.765 0.677 0.330

Summary:
- Fermi-level density of states: 5.32 states/eV/cell
- Crystal system: triclinic
- Uncorrected formation energy: -1.787 eV/atom



# ZrTcSe

An optimized crystal structure of ZrTcSe (GGA-PBE, the Alexandria database).

abc: 3.378 3.378 5.856
angles: 90.00 90.00 120.00
Fractional coordinates of all 3 atoms:
1 Zr 0.000 0.000 0.000
2 Tc 0.333 0.667 0.677
3 Se 0.667 0.333 0.348

Summary:
- Fermi-level density of states: 3.26 states/eV/cell
- Crystal system: trigonal
- Uncorrected formation energy: -0.099 eV/atom
- Energy above the lowest structure with this stoichiometry: 449 meV/atom